KFe3Pt: relaxed, PBE.

The structure in CIF format:
```
data_KFe3Pt
_cell_length_a 4.869
_cell_length_b 4.869
_cell_length_c 4.869
_cell_angle_alpha 90.00
_cell_angle_beta 90.00
_cell_angle_gamma 90.00
_symmetry_space_group_name_H-M 'P m -3 m'
_symmetry_Int_Tables_number 221
_symmetry_space_group_name_Hall '-P 4 2 3'
loop_
_atom_site_label
_atom_site_type_symbol
_atom_site_fract_x
_atom_site_fract_y
_atom_site_fract_z
_atom_site_occupancy
K1 K 0.000 0.000 0.000 1
Fe1 Fe 0.000 0.500 0.500 1
Pt1 Pt 0.500 0.500 0.500 1
```

Values from the calculation:
The value obtained for the magnetization is 2.04 μB/atom. Its energy above the most stable polymorph in this dataset is 0 meV per atom. The value obtained for the formation energy is 0.8854 eV per atom.